Record 1
InGaSb2 | GGA-PBE | optimized geometry

- total magnetization (μB/f.u.) = 0.00
- offset from the most stable computed form (meV/atom) = 294
- calculated volume (A^3/atom) = 26.63

Unit cell a=11.633 b=11.633 c=11.633 alpha=16.18 beta=16.18 gamma=16.18
Fractional coordinates of all 4 atoms:
In1 0.000 0.000 0.000
Ga1 0.500 0.500 0.500
Sb1 0.419 0.419 0.419
Sb2 0.581 0.581 0.581

Record 2
SrMoIr | GGA-PBE | optimized geometry

- energy relative to the elements (meV/atom) = 773.6
- total magnetization (μB/f.u.) = 0.00
- offset from the most stable computed form (meV/atom) = 547
- calculated volume (A^3/atom) = 20.04

Unit cell a=3.062 b=3.062 c=7.402 alpha=90.00 beta=90.00 gamma=120.00
Fractional coordinates of all 3 atoms:
Sr1 0.000 0.000 0.000
Mo1 0.333 0.667 0.620
Ir1 0.667 0.333 0.359

Record 3
SrBe2In | GGA-PBE | optimized geometry

- energy relative to the elements (meV/atom) = 299.1
- total magnetization (μB/f.u.) = 0.00
- calculated volume (A^3/atom) = 23.77

Unit cell a=9.072 b=9.072 c=9.072 alpha=149.64 beta=149.64 gamma=43.47
Fractional coordinates of all 8 atoms:
Sr1 0.375 0.625 0.750
Sr2 0.625 0.375 0.250
Be1 0.000 0.000 0.000
Be2 0.000 0.000 0.500
Be3 0.000 0.500 0.000
Be4 0.500 0.000 0.500
In1 0.125 0.875 0.250
In2 0.875 0.125 0.750

Record 4
AlFeAg2 | GGA-PBE | optimized geometry

- energy relative to the elements (meV/atom) = 177.8
- total magnetization (μB/f.u.) = 2.58
- calculated volume (A^3/atom) = 15.73

Unit cell a=4.690 b=4.690 c=4.690 alpha=127.56 beta=127.56 gamma=77.34
Fractional coordinates of all 4 atoms:
Al1 0.000 0.000 0.000
Fe1 0.250 0.750 0.500
Ag1 0.500 0.500 0.000
Ag2 0.750 0.250 0.500

Number 1: ρ 6.674 g/cm³. Number 2: ρ 10.379 g/cm³. Number 3: ρ 3.850 g/cm³. Number 4: ρ 7.881 g/cm³.